# TbDyHo6Tm2 PBE optimized geometry
data_TbDyHo6Tm2
_cell_length_a 8.974
_cell_length_b 14.861
_cell_length_c 9.453
_cell_angle_alpha 90.00
_cell_angle_beta 97.39
_cell_angle_gamma 90.00
_symmetry_space_group_name_H-M 'C 1 2/c 1'
_symmetry_Int_Tables_number 15
loop_
_symmetry_equiv_pos_as_xyz
'x,y,z'
'-x,-y,-z'
'-x,y,-z+1/2'
'x,-y,z+1/2'
'x+1/2,y+1/2,z'
'-x+1/2,-y+1/2,-z'
'-x+1/2,y+1/2,-z+1/2'
'x+1/2,-y+1/2,z+1/2'
loop_
_atom_site_label
_atom_site_fract_x
_atom_site_fract_y
_atom_site_fract_z
Tb1 0.000 0.025 0.250
Dy1 0.000 0.409 0.750
Ho1 0.063 0.185 0.944
Ho2 0.102 0.393 0.120
Ho3 0.206 0.226 0.317
Tm1 0.249 0.053 0.545
# **DFT total energy**: -4.44 eV per atom
# **E_form**: 1.2 eV/f.u.

=====

# Tb3DyHo6Tm2 PBE optimized geometry
data_Tb3DyHo6Tm2
_cell_length_a 6.101
_cell_length_b 10.554
_cell_length_c 11.665
_cell_angle_alpha 90.00
_cell_angle_beta 99.99
_cell_angle_gamma 90.00
_symmetry_space_group_name_H-M 'C 1 2/m 1'
_symmetry_Int_Tables_number 12
loop_
_symmetry_equiv_pos_as_xyz
'x,y,z'
'-x,-y,-z'
'-x,y,-z'
'x,-y,z'
'x+1/2,y+1/2,z'
'-x+1/2,-y+1/2,-z'
'-x+1/2,y+1/2,-z'
'x+1/2,-y+1/2,z'
loop_
_atom_site_label
_atom_site_fract_x
_atom_site_fract_y
_atom_site_fract_z
Tb1 0.000 0.000 0.000
Tb2 0.000 0.333 0.000
Dy1 0.000 0.500 0.500
Ho1 0.249 0.000 0.748
Ho2 0.250 0.167 0.251
Tm1 0.000 0.167 0.500
# **DFT total energy**: -4.56 eV per atom
# **E_form**: 0.2 eV/f.u.

=====

# TbDy4Ho2Tm2 PBE optimized geometry
data_TbDy4Ho2Tm2
_cell_length_a 18.453
_cell_length_b 3.553
_cell_length_c 9.434
_cell_angle_alpha 90.00
_cell_angle_beta 115.73
_cell_angle_gamma 90.00
_symmetry_space_group_name_H-M 'C 1 2/m 1'
_symmetry_Int_Tables_number 12
loop_
_symmetry_equiv_pos_as_xyz
'x,y,z'
'-x,-y,-z'
'-x,y,-z'
'x,-y,z'
'x+1/2,y+1/2,z'
'-x+1/2,-y+1/2,-z'
'-x+1/2,y+1/2,-z'
'x+1/2,-y+1/2,z'
loop_
_atom_site_label
_atom_site_fract_x
_atom_site_fract_y
_atom_site_fract_z
Tb1 0.000 0.000 0.000
Dy1 0.018 0.500 0.334
Dy2 0.185 0.000 0.333
Ho1 0.148 0.000 0.668
Tm1 0.167 0.500 0.000
# **DFT total energy**: -4.57 eV per atom
# **E_form**: 0.0 eV/f.u.

=====

# Tb6Dy3HoTm2 PBE optimized geometry
data_Tb6Dy3HoTm2
_cell_length_a 6.124
_cell_length_b 10.596
_cell_length_c 11.698
_cell_angle_alpha 90.00
_cell_angle_beta 99.99
_cell_angle_gamma 90.00
_symmetry_space_group_name_H-M 'C 1 2/m 1'
_symmetry_Int_Tables_number 12
loop_
_symmetry_equiv_pos_as_xyz
'x,y,z'
'-x,-y,-z'
'-x,y,-z'
'x,-y,z'
'x+1/2,y+1/2,z'
'-x+1/2,-y+1/2,-z'
'-x+1/2,y+1/2,-z'
'x+1/2,-y+1/2,z'
loop_
_atom_site_label
_atom_site_fract_x
_atom_site_fract_y
_atom_site_fract_z
Tb1 0.250 0.000 0.249
Tb2 0.250 0.167 0.751
Dy1 0.000 0.000 0.500
Dy2 0.000 0.333 0.500
Ho1 0.000 0.500 0.000
Tm1 0.000 0.167 0.000
# **DFT total energy**: -4.58 eV per atom
# **E_form**: 0.2 eV/f.u.

=====

# TbDy2Y3Ho6 PBE optimized geometry
data_TbDy2Y3Ho6
_cell_length_a 6.137
_cell_length_b 10.618
_cell_length_c 11.742
_cell_angle_alpha 90.00
_cell_angle_beta 99.98
_cell_angle_gamma 90.00
_symmetry_space_group_name_H-M 'C 1 2/m 1'
_symmetry_Int_Tables_number 12
loop_
_symmetry_equiv_pos_as_xyz
'x,y,z'
'-x,-y,-z'
'-x,y,-z'
'x,-y,z'
'x+1/2,y+1/2,z'
'-x+1/2,-y+1/2,-z'
'-x+1/2,y+1/2,-z'
'x+1/2,-y+1/2,z'
loop_
_atom_site_label
_atom_site_fract_x
_atom_site_fract_y
_atom_site_fract_z
Tb1 0.000 0.000 0.000
Dy1 0.000 0.333 0.000
Y1 0.000 0.167 0.500
Y2 0.000 0.500 0.500
Ho1 0.250 0.000 0.751
Ho2 0.250 0.167 0.249
# **DFT total energy**: -5.04 eV per atom
# **E_form**: 0.2 eV/f.u.

=====

# Tb2Dy3Y6Ho PBE optimized geometry
data_Tb2Dy3Y6Ho
_cell_length_a 6.165
_cell_length_b 10.666
_cell_length_c 11.792
_cell_angle_alpha 90.00
_cell_angle_beta 99.97
_cell_angle_gamma 90.00
_symmetry_space_group_name_H-M 'C 1 2/m 1'
_symmetry_Int_Tables_number 12
loop_
_symmetry_equiv_pos_as_xyz
'x,y,z'
'-x,-y,-z'
'-x,y,-z'
'x,-y,z'
'x+1/2,y+1/2,z'
'-x+1/2,-y+1/2,-z'
'-x+1/2,y+1/2,-z'
'x+1/2,-y+1/2,z'
loop_
_atom_site_label
_atom_site_fract_x
_atom_site_fract_y
_atom_site_fract_z
Tb1 0.000 0.167 0.000
Dy1 0.000 0.000 0.500
Dy2 0.000 0.333 0.500
Y1 0.250 0.000 0.250
Y2 0.250 0.167 0.750
Ho1 0.000 0.500 0.000
# **DFT total energy**: -5.52 eV per atom
# **E_form**: 0.2 eV/f.u.

=====

Q: Number 6 is which compound?
A: Tb2Dy3Y6Ho